The following is a PBE calculation of crystalline DyFe4Pd at its relaxed geometry, from Alexandria.

Calculated values
Crystal system ... cubic
Calculated formation energy ... -0.09 eV/atom
V ... 88.57 Å³/cell
Electronic total energy ... -7.37 eV/atom

```
6
Lattice="5.004 0.000 0.000 2.502 4.333 0.000 2.502 1.444 4.085" Properties=species:S:1:pos:R:3 pbc="T T T"
Fe 5.004 2.889 0.511
Fe 5.004 1.445 2.553
Fe 6.254 3.611 2.553
Fe 3.753 3.611 2.553
Pd 2.502 1.444 1.021
Dy 0.000 0.000 0.000
```



The following is a PBE calculation of crystalline ZnPb2Au7 at its relaxed geometry, from Alexandria.

Calculated values
Crystal system ... tetragonal
Calculated formation energy ... -0.04 eV/atom
V ... 215.78 Å³/cell
Electronic total energy ... -3.21 eV/atom

```
10
Lattice="-0.302 3.155 2.373 -0.069 -2.384 3.161 13.723 0.695 0.823" Properties=species:S:1:pos:R:3 pbc="T T T"
Zn -0.185 0.386 2.767
Pb 10.140 2.098 1.803
Pb 3.398 -1.018 1.786
Au 11.713 -0.597 2.284
Au 4.621 1.819 1.472
Au 1.825 1.678 1.305
Au 8.917 -0.739 2.117
Au 6.862 0.347 0.411
Au 0.000 0.000 0.000
Au 6.676 0.733 3.178
```



Question: What is the calculated formation energy in the second record?
Answer: -0.04 eV/atom